(1)
VASP calculation (PBEsol) on a geometry-optimized CuTeN2O structure.

Values from the calculation:
- calculated volume (Å³/atom) = 14.5
- ΔE_f (raw) (meV per atom) = 1403
- energy (eV per atom) = -4.630

CIF file:
```
data_CuTeN2O
_chemical_formula_sum 'Cu1 Te1 N2 O1'
_symmetry_space_group_name_H-M 'P 4/m m m'
_symmetry_Int_Tables_number 123
_symmetry_space_group_name_Hall '-P 4 2'
_cell_length_a 3.4994
_cell_length_b 3.4994
_cell_length_c 5.9248
_cell_angle_alpha 90.00
_cell_angle_beta 90.00
_cell_angle_gamma 90.00
loop_
_atom_site_label
_atom_site_type_symbol
_atom_site_fract_x
_atom_site_fract_y
_atom_site_fract_z
_atom_site_occupancy
Cu1 Cu 0.0000 0.0000 0.0000 1
Te1 Te 0.0000 0.0000 0.5000 1
N1 N 0.0000 0.5000 0.0000 1
O1 O 0.5000 0.5000 0.5000 1
```

(2)
VASP calculation (PBEsol) on a geometry-optimized Cu2TeNO structure.

Values from the calculation:
- calculated volume (Å³/atom) = 16.2
- ΔE_f (raw) (meV per atom) = 554
- energy (eV per atom) = -4.640

CIF file:
```
data_Cu2TeNO
_chemical_formula_sum 'Cu2 Te1 N1 O1'
_symmetry_space_group_name_H-M 'P 4/m m m'
_symmetry_Int_Tables_number 123
_symmetry_space_group_name_Hall '-P 4 2'
_cell_length_a 3.5058
_cell_length_b 3.5058
_cell_length_c 6.6061
_cell_angle_alpha 90.00
_cell_angle_beta 90.00
_cell_angle_gamma 90.00
loop_
_atom_site_label
_atom_site_type_symbol
_atom_site_fract_x
_atom_site_fract_y
_atom_site_fract_z
_atom_site_occupancy
Cu1 Cu 0.0000 0.5000 0.0000 1
Te1 Te 0.0000 0.0000 0.5000 1
N1 N 0.5000 0.5000 0.5000 1
O1 O 0.0000 0.0000 0.0000 1
```

(3)
VASP calculation (PBEsol) on a geometry-optimized TlCuNO2 structure.

Values from the calculation:
- calculated volume (Å³/atom) = 14.9
- ΔE_f (raw) (meV per atom) = 1282
- energy (eV per atom) = -3.916

CIF file:
```
data_TlCuNO2
_chemical_formula_sum 'Tl1 Cu1 N1 O2'
_symmetry_space_group_name_H-M 'P 4/m m m'
_symmetry_Int_Tables_number 123
_symmetry_space_group_name_Hall '-P 4 2'
_cell_length_a 4.1925
_cell_length_b 4.1925
_cell_length_c 4.2390
_cell_angle_alpha 90.00
_cell_angle_beta 90.00
_cell_angle_gamma 90.00
loop_
_atom_site_label
_atom_site_type_symbol
_atom_site_fract_x
_atom_site_fract_y
_atom_site_fract_z
_atom_site_occupancy
Tl1 Tl 0.0000 0.0000 0.0000 1
Cu1 Cu 0.5000 0.5000 0.5000 1
N1 N 0.0000 0.0000 0.5000 1
O1 O 0.0000 0.5000 0.0000 1
```

(4)
VASP calculation (PBEsol) on a geometry-optimized CuOsPtN2 structure.

Values from the calculation:
- calculated volume (Å³/atom) = 13.5
- ΔE_f (raw) (meV per atom) = 2054
- energy (eV per atom) = -6.059

CIF file:
```
data_CuOsPtN2
_chemical_formula_sum 'Cu1 Os1 Pt1 N2'
_symmetry_space_group_name_H-M 'P 4/m m m'
_symmetry_Int_Tables_number 123
_symmetry_space_group_name_Hall '-P 4 2'
_cell_length_a 3.7477
_cell_length_b 3.7477
_cell_length_c 4.8009
_cell_angle_alpha 90.00
_cell_angle_beta 90.00
_cell_angle_gamma 90.00
loop_
_atom_site_label
_atom_site_type_symbol
_atom_site_fract_x
_atom_site_fract_y
_atom_site_fract_z
_atom_site_occupancy
Cu1 Cu 0.0000 0.0000 0.0000 1
Os1 Os 0.5000 0.5000 0.0000 1
Pt1 Pt 0.0000 0.0000 0.5000 1
N1 N 0.0000 0.5000 0.5000 1
```

(5)
VASP calculation (PBEsol) on a geometry-optimized CuOsWN2 structure.

Values from the calculation:
- calculated volume (Å³/atom) = 13.6
- ΔE_f (raw) (meV per atom) = 1564
- energy (eV per atom) = -7.918

CIF file:
```
data_CuOsWN2
_chemical_formula_sum 'Cu1 Os1 W1 N2'
_symmetry_space_group_name_H-M 'P 4/m m m'
_symmetry_Int_Tables_number 123
_symmetry_space_group_name_Hall '-P 4 2'
_cell_length_a 3.7445
_cell_length_b 3.7445
_cell_length_c 4.8640
_cell_angle_alpha 90.00
_cell_angle_beta 90.00
_cell_angle_gamma 90.00
loop_
_atom_site_label
_atom_site_type_symbol
_atom_site_fract_x
_atom_site_fract_y
_atom_site_fract_z
_atom_site_occupancy
Cu1 Cu 0.0000 0.0000 0.0000 1
Os1 Os 0.0000 0.0000 0.5000 1
W1 W 0.5000 0.5000 0.0000 1
N1 N 0.0000 0.5000 0.5000 1
```

(6)
VASP calculation (PBEsol) on a geometry-optimized CuPN2 structure.

Values from the calculation:
- calculated volume (Å³/atom) = 9.4
- ΔE_f (raw) (meV per atom) = -304
- energy (eV per atom) = -7.099

CIF file:
```
data_CuPN2
_chemical_formula_sum 'Cu4 P4 N8'
_symmetry_space_group_name_H-M 'I -4 2 d'
_symmetry_Int_Tables_number 122
_symmetry_space_group_name_Hall 'I -4 2bw'
_cell_length_a 4.4092
_cell_length_b 4.4092
_cell_length_c 7.7515
_cell_angle_alpha 90.00
_cell_angle_beta 90.00
_cell_angle_gamma 90.00
loop_
_atom_site_label
_atom_site_type_symbol
_atom_site_fract_x
_atom_site_fract_y
_atom_site_fract_z
_atom_site_occupancy
Cu1 Cu 0.0000 0.0000 0.0000 1
P1 P 0.0000 0.0000 0.5000 1
N1 N 0.1722 0.2500 0.6250 1
```

(7)
VASP calculation (PBEsol) on a geometry-optimized CuP2RuN structure.

Values from the calculation:
- calculated volume (Å³/atom) = 12.9
- ΔE_f (raw) (meV per atom) = 742
- energy (eV per atom) = -6.181

CIF file:
```
data_CuP2RuN
_chemical_formula_sum 'Cu1 P2 Ru1 N1'
_symmetry_space_group_name_H-M 'P 4/m m m'
_symmetry_Int_Tables_number 123
_symmetry_space_group_name_Hall '-P 4 2'
_cell_length_a 4.1211
_cell_length_b 4.1211
_cell_length_c 3.7855
_cell_angle_alpha 90.00
_cell_angle_beta 90.00
_cell_angle_gamma 90.00
loop_
_atom_site_label
_atom_site_type_symbol
_atom_site_fract_x
_atom_site_fract_y
_atom_site_fract_z
_atom_site_occupancy
Cu1 Cu 0.0000 0.0000 0.0000 1
P1 P 0.0000 0.5000 0.5000 1
Ru1 Ru 0.5000 0.5000 0.0000 1
N1 N 0.5000 0.5000 0.5000 1
```

(8)
VASP calculation (PBEsol) on a geometry-optimized Cu2PbN structure.

Values from the calculation:
- calculated volume (Å³/atom) = 13.9
- ΔE_f (raw) (meV per atom) = 1065
- energy (eV per atom) = -4.233

CIF file:
```
data_Cu2PbN
_chemical_formula_sum 'Cu8 Pb4 N4'
_symmetry_space_group_name_H-M 'F m -3 m'
_symmetry_Int_Tables_number 225
_symmetry_space_group_name_Hall '-F 4 2 3'
_cell_length_a 6.0605
_cell_length_b 6.0605
_cell_length_c 6.0605
_cell_angle_alpha 90.00
_cell_angle_beta 90.00
_cell_angle_gamma 90.00
loop_
_atom_site_label
_atom_site_type_symbol
_atom_site_fract_x
_atom_site_fract_y
_atom_site_fract_z
_atom_site_occupancy
Cu1 Cu 0.2500 0.2500 0.2500 1
Pb1 Pb 0.0000 0.0000 0.0000 1
N1 N 0.0000 0.0000 0.5000 1
```

(9)
VASP calculation (PBEsol) on a geometry-optimized Cu2RhPbN structure.

Values from the calculation:
- calculated volume (Å³/atom) = 13.5
- ΔE_f (raw) (meV per atom) = 297
- energy (eV per atom) = -5.570

CIF file:
```
data_Cu2RhPbN
_chemical_formula_sum 'Cu2 Rh1 Pb1 N1'
_symmetry_space_group_name_H-M 'P 4/m m m'
_symmetry_Int_Tables_number 123
_symmetry_space_group_name_Hall '-P 4 2'
_cell_length_a 3.9905
_cell_length_b 3.9905
_cell_length_c 4.2512
_cell_angle_alpha 90.00
_cell_angle_beta 90.00
_cell_angle_gamma 90.00
loop_
_atom_site_label
_atom_site_type_symbol
_atom_site_fract_x
_atom_site_fract_y
_atom_site_fract_z
_atom_site_occupancy
Cu1 Cu 0.0000 0.5000 0.0000 1
Rh1 Rh 0.0000 0.0000 0.5000 1
Pb1 Pb 0.5000 0.5000 0.5000 1
N1 N 0.0000 0.0000 0.0000 1
```

(10)
VASP calculation (PBEsol) on a geometry-optimized CuPbSeN2 structure.

Values from the calculation:
- calculated volume (Å³/atom) = 20.3
- ΔE_f (raw) (meV per atom) = 1842
- energy (eV per atom) = -4.005

CIF file:
```
data_CuPbSeN2
_chemical_formula_sum 'Cu1 Pb1 Se1 N2'
_symmetry_space_group_name_H-M 'P 4/m m m'
_symmetry_Int_Tables_number 123
_symmetry_space_group_name_Hall '-P 4 2'
_cell_length_a 4.2152
_cell_length_b 4.2152
_cell_length_c 5.7055
_cell_angle_alpha 90.00
_cell_angle_beta 90.00
_cell_angle_gamma 90.00
loop_
_atom_site_label
_atom_site_type_symbol
_atom_site_fract_x
_atom_site_fract_y
_atom_site_fract_z
_atom_site_occupancy
Cu1 Cu 0.0000 0.0000 0.0000 1
Pb1 Pb 0.5000 0.5000 0.5000 1
Se1 Se 0.5000 0.5000 0.0000 1
N1 N 0.0000 0.5000 0.5000 1
```

(11)
VASP calculation (PBEsol) on a geometry-optimized CuPtN3 structure.

Values from the calculation:
- calculated volume (Å³/atom) = 10.1
- ΔE_f (raw) (meV per atom) = 2094
- energy (eV per atom) = -5.281

CIF file:
```
data_CuPtN3
_chemical_formula_sum 'Cu1 Pt1 N3'
_symmetry_space_group_name_H-M 'P m -3 m'
_symmetry_Int_Tables_number 221
_symmetry_space_group_name_Hall '-P 4 2 3'
_cell_length_a 3.6942
_cell_length_b 3.6942
_cell_length_c 3.6942
_cell_angle_alpha 90.00
_cell_angle_beta 90.00
_cell_angle_gamma 90.00
loop_
_atom_site_label
_atom_site_type_symbol
_atom_site_fract_x
_atom_site_fract_y
_atom_site_fract_z
_atom_site_occupancy
Cu1 Cu 0.0000 0.0000 0.0000 1
Pt1 Pt 0.5000 0.5000 0.5000 1
N1 N 0.0000 0.0000 0.5000 1
```

(12)
VASP calculation (PBEsol) on a geometry-optimized CuTe2PtN structure.

Values from the calculation:
- calculated volume (Å³/atom) = 21.7
- ΔE_f (raw) (meV per atom) = 648
- energy (eV per atom) = -4.728

CIF file:
```
data_CuTe2PtN
_chemical_formula_sum 'Cu1 Te2 Pt1 N1'
_symmetry_space_group_name_H-M 'P 4/m m m'
_symmetry_Int_Tables_number 123
_symmetry_space_group_name_Hall '-P 4 2'
_cell_length_a 5.4985
_cell_length_b 5.4985
_cell_length_c 3.5857
_cell_angle_alpha 90.00
_cell_angle_beta 90.00
_cell_angle_gamma 90.00
loop_
_atom_site_label
_atom_site_type_symbol
_atom_site_fract_x
_atom_site_fract_y
_atom_site_fract_z
_atom_site_occupancy
Cu1 Cu 0.0000 0.0000 0.0000 1
Te1 Te 0.0000 0.5000 0.5000 1
Pt1 Pt 0.5000 0.5000 0.5000 1
N1 N 0.5000 0.5000 0.0000 1
```

(13)
VASP calculation (PBEsol) on a geometry-optimized CuTe2PtN structure.

Values from the calculation:
- calculated volume (Å³/atom) = 18.2
- ΔE_f (raw) (meV per atom) = 783
- energy (eV per atom) = -4.592

CIF file:
```
data_CuTe2PtN
_chemical_formula_sum 'Cu1 Te2 Pt1 N1'
_symmetry_space_group_name_H-M 'P 4/m m m'
_symmetry_Int_Tables_number 123
_symmetry_space_group_name_Hall '-P 4 2'
_cell_length_a 5.1688
_cell_length_b 5.1688
_cell_length_c 3.4112
_cell_angle_alpha 90.00
_cell_angle_beta 90.00
_cell_angle_gamma 90.00
loop_
_atom_site_label
_atom_site_type_symbol
_atom_site_fract_x
_atom_site_fract_y
_atom_site_fract_z
_atom_site_occupancy
Cu1 Cu 0.0000 0.0000 0.0000 1
Te1 Te 0.0000 0.5000 0.0000 1
Pt1 Pt 0.5000 0.5000 0.5000 1
N1 N 0.0000 0.0000 0.5000 1
```

(14)
VASP calculation (PBEsol) on a geometry-optimized RbCuN2 structure.

Values from the calculation:
- calculated volume (Å³/atom) = 16.2
- ΔE_f (raw) (meV per atom) = 953
- energy (eV per atom) = -4.650

CIF file:
```
data_RbCuN2
_chemical_formula_sum 'Rb4 Cu4 N8'
_symmetry_space_group_name_H-M 'I -4 2 d'
_symmetry_Int_Tables_number 122
_symmetry_space_group_name_Hall 'I -4 2bw'
_cell_length_a 5.8699
_cell_length_b 5.8699
_cell_length_c 7.5188
_cell_angle_alpha 90.00
_cell_angle_beta 90.00
_cell_angle_gamma 90.00
loop_
_atom_site_label
_atom_site_type_symbol
_atom_site_fract_x
_atom_site_fract_y
_atom_site_fract_z
_atom_site_occupancy
Rb1 Rb 0.0000 0.0000 0.0000 1
Cu1 Cu 0.0000 0.0000 0.5000 1
N1 N 0.0949 0.7500 0.6250 1
```